Entry 1:
The following is a DFT calculation (PBE) of a relaxed BaNiN2 crystal.

abc: 6.1987 6.1987 6.1987
angles: 90.00 90.00 90.00
Space group Fm-3m (No. 225)
Unique sites:
Ba1 0.0000 0.0000 0.0000 x4
Ni1 0.0000 0.0000 0.5000 x4
N1 0.2500 0.2500 0.2500 x8

Values from the calculation:
Total magnetic moment in μB per formula unit: 2.8
Volume in Å³/cell: 238
Formation energy from raw total energies in eV/atom: 1.2669

---

Entry 2:
The following is a DFT calculation (PBE) of a relaxed EuTl2Bi crystal.

abc: 4.8528 4.8528 5.2280
angles: 90.00 90.00 90.00
Space group P4/mmm (No. 123)
Unique sites:
Eu1 0.0000 0.0000 0.0000 x1
Tl1 0.0000 0.5000 0.5000 x2
Bi1 0.5000 0.5000 0.0000 x1

Values from the calculation:
DFT total energy in eV per atom: -5.14
Total magnetic moment in μB per formula unit: 7.0
Volume in Å³/cell: 123

---

Entry 3:
The following is a DFT calculation (PBE) of a relaxed NpAlFeSi2 crystal.

abc: 5.3036 5.4878 5.4922
angles: 90.00 90.00 90.00
Space group Pmma (No. 51)
Unique sites:
Np1 0.2500 0.0000 0.2378 x2
Al1 0.2500 0.5000 0.3663 x2
Fe1 0.0000 0.5000 0.0000 x2
Si1 0.2500 0.2422 0.7556 x4

Values from the calculation:
Total magnetic moment in μB per formula unit: 4.0
Volume in Å³/cell: 160
Formation energy from raw total energies in eV/atom: -0.2368

---

Entry 4:
The following is a DFT calculation (PBE) of a relaxed Pu2Ge6PtRh crystal.

abc: 6.0538 6.0538 36.6508
angles: 90.00 90.00 120.00
Space group R-3m (No. 166, hexagonal axes)
Unique sites:
Pu1 0.0000 0.0000 0.1326 x6
Pu2 0.0000 0.0000 0.2790 x6
Ge1 0.0379 0.5189 0.8757 x18
Ge2 0.0423 0.5211 0.7271 x18
Pt1 0.0000 0.0000 0.3557 x6
Rh1 0.0000 0.0000 0.0000 x3
Rh2 0.0000 0.0000 0.5000 x3

Values from the calculation:
DFT total energy in eV per atom: -7.27
Total magnetic moment in μB per formula unit: 10.5
Volume in Å³/cell: 1163

---

Entry 5:
The following is a DFT calculation (PBE) of a relaxed Li2AgF5 crystal.

abc: 5.4088 10.2105 8.0025
angles: 90.00 111.76 90.00
Space group P2_1/c (No. 14)
Unique sites:
Li1 0.0991 0.1937 0.4943 x4
Li2 0.3826 0.7068 0.4011 x4
Ag1 0.1650 0.5140 0.7255 x4
F1 0.0466 0.6685 0.8251 x4
F2 0.1078 0.5919 0.2168 x4
F3 0.2572 0.1295 0.0896 x4
F4 0.3568 0.6413 0.6304 x4
F5 0.4172 0.1462 0.4862 x4

Values from the calculation:
Total magnetic moment in μB per formula unit: 0.1
Volume in Å³/cell: 410
Formation energy from raw total energies in eV/atom: -1.9322
Polymorph energy (0 for the lowest one) in meV/atom: 43

---

Entry 6:
The following is a DFT calculation (PBE) of a relaxed Tb3Pr2In crystal.

abc: 4.9240 15.3722 4.9649
angles: 90.00 90.00 90.00
Space group Cmmm (No. 65)
Unique sites:
Tb1 0.0000 0.0000 0.0000 x2
Tb2 0.0000 0.3371 0.0000 x4
Pr1 0.0000 0.1620 0.5000 x4
In1 0.0000 0.5000 0.5000 x2

Values from the calculation:
Total magnetic moment in μB per formula unit: 0.0
Volume in Å³/cell: 376
Polymorph energy (0 for the lowest one) in meV/atom: 0

---

Entry 7:
The following is a DFT calculation (PBE) of a relaxed Ce4TmBi5 crystal.

abc: 10.2132 10.2132 6.4694
angles: 90.00 90.00 90.00
Space group I4/m (No. 87)
Unique sites:
Ce1 0.0974 0.6994 0.0000 x8
Tm1 0.0000 0.0000 0.5000 x2
Bi1 0.0000 0.0000 0.0000 x2
Bi2 0.0993 0.7057 0.5000 x8

Values from the calculation:
DFT total energy in eV per atom: -5.54
Total magnetic moment in μB per formula unit: 3.6
Volume in Å³/cell: 675

---

Entry 8:
The following is a DFT calculation (PBE) of a relaxed Y2C crystal.

abc: 3.8787 17.9082 3.8981
angles: 90.00 90.00 90.00
Space group Cmmm (No. 65)
Unique sites:
Y1 0.0000 0.0000 0.0000 x2
Y2 0.0000 0.1521 0.5000 x4
Y3 0.0000 0.5000 0.5000 x2
C1 0.0000 0.4028 0.0000 x4

Values from the calculation:
DFT total energy in eV per atom: -6.85
Total magnetic moment in μB per formula unit: 0.0
Volume in Å³/cell: 271